Below is crystalline Mo2C at its relaxed geometry, with properties calculated at the PBE-GGA level.

Output
crystal system = cubic
energy of formation = 0.1036 eV per atom

Cell: 5.2975 5.2975 5.2975 Å, 90.00 90.00 90.00°
Closest atoms and distances in Å follow each position.
Positions (direct):
Mo 0.6451 0.6451 0.3549  3 C 2.17
Mo 0.3549 0.3549 0.6451  3 C 2.17
Mo 0.1451 0.8549 0.6451  3 C 2.17
Mo 0.8549 0.1451 0.3549  3 C 2.17
Mo 0.3549 0.1451 0.1451  3 C 2.17
Mo 0.6451 0.8549 0.8549  3 C 2.17
Mo 0.8549 0.3549 0.8549  3 C 2.17
Mo 0.1451 0.6451 0.1451  3 C 2.17
C 0.0000 0.0000 0.0000  6 Mo 2.17
C 0.5000 0.5000 0.0000  6 Mo 2.17
C 0.5000 0.0000 0.5000  6 Mo 2.17
C 0.0000 0.5000 0.5000  6 Mo 2.17